Material: Ti2CoRu
Method: DFT, PBE
State: relaxed Values from VASP.

Calculated values
* volume: 58.5 Å³/cell
* DFT formation energy: 0.25 eV/atom
* space group: Immm, No. 71
* electronic total energy: -7.7920 eV per atom

Geometry as Quantum ESPRESSO input:
```
&SYSTEM
  ibrav = 0, nat = 4, ntyp = 3
/
ATOMIC_SPECIES
Co 58.93 Co.upf
Ru 101.07 Ru.upf
Ti 47.87 Ti.upf
ATOMIC_POSITIONS crystal
Co 0.0000 0.0000 0.0000
Ru 0.0000 0.5000 0.5000
Ti 0.0000 0.2406 0.2406
Ti 0.0000 0.7594 0.7594
CELL_PARAMETERS angstrom
-1.3061 -5.1540 0.6704
2.4290 3.3010 3.4528
-1.3057 5.1971 0.0603
```

Material: Ca2Cd3Au2
Method: DFT, PBE
State: relaxed Values from VASP.

Calculated values
* volume: 168.2 Å³/cell
* DFT formation energy: -0.53 eV/atom
* space group: C2/m, No. 12
* electronic total energy: -2.4278 eV per atom
* energy relative to the lowest polymorph listed for this composition: 0 meV/atom

Geometry as Quantum ESPRESSO input:
```
&SYSTEM
  ibrav = 0, nat = 7, ntyp = 3
/
ATOMIC_SPECIES
Cd 112.41 Cd.upf
Au 196.97 Au.upf
Ca 40.08 Ca.upf
ATOMIC_POSITIONS crystal
Cd 0.3774 0.7549 0.5632
Cd 0.5000 0.0000 0.0000
Cd 0.6226 0.2451 0.4368
Au 0.8436 0.6871 0.7952
Au 0.1564 0.3129 0.2048
Ca 0.1397 0.2795 0.7822
Ca 0.8603 0.7205 0.2178
CELL_PARAMETERS angstrom
-0.3475 1.4861 4.2968
4.0525 -3.8825 -0.7489
2.6914 6.7855 -2.1291
```

Material: La2ErHg8
Method: DFT, PBE
State: relaxed Values from VASP.

Calculated values
* volume: 291.9 Å³/cell
* DFT formation energy: -0.36 eV/atom
* space group: C2/m, No. 12
* electronic total energy: -1.8911 eV per atom

Geometry as Quantum ESPRESSO input:
```
&SYSTEM
  ibrav = 0, nat = 11, ntyp = 3
/
ATOMIC_SPECIES
Hg 200.59 Hg.upf
Er 167.26 Er.upf
La 138.91 La.upf
ATOMIC_POSITIONS crystal
Hg 0.8437 0.8443 0.6886
Hg 0.3636 0.5713 0.7273
Hg 0.0000 0.7190 0.0001
Hg 0.6366 0.8442 0.2730
Hg 0.3634 0.1558 0.7270
Hg 0.6364 0.4287 0.2727
Hg 0.1563 0.1557 0.3114
Hg 0.0000 0.2810 0.9999
Er 0.5000 0.0000 0.0000
La 0.1980 0.6980 0.3964
La 0.8020 0.3020 0.6036
CELL_PARAMETERS angstrom
-2.1663 3.4891 3.2938
-2.4697 -5.6399 4.3499
8.5640 1.3264 0.0529
```

Repeat the third record exactly.
Material: La2ErHg8
Method: DFT, PBE
State: relaxed Values from VASP.

Calculated values
* volume: 291.9 Å³/cell
* DFT formation energy: -0.36 eV/atom
* space group: C2/m, No. 12
* electronic total energy: -1.8911 eV per atom

Geometry as Quantum ESPRESSO input:
```
&SYSTEM
  ibrav = 0, nat = 11, ntyp = 3
/
ATOMIC_SPECIES
Hg 200.59 Hg.upf
Er 167.26 Er.upf
La 138.91 La.upf
ATOMIC_POSITIONS crystal
Hg 0.8437 0.8443 0.6886
Hg 0.3636 0.5713 0.7273
Hg 0.0000 0.7190 0.0001
Hg 0.6366 0.8442 0.2730
Hg 0.3634 0.1558 0.7270
Hg 0.6364 0.4287 0.2727
Hg 0.1563 0.1557 0.3114
Hg 0.0000 0.2810 0.9999
Er 0.5000 0.0000 0.0000
La 0.1980 0.6980 0.3964
La 0.8020 0.3020 0.6036
CELL_PARAMETERS angstrom
-2.1663 3.4891 3.2938
-2.4697 -5.6399 4.3499
8.5640 1.3264 0.0529
```